1.
# KTe2P

An optimized crystal structure of KTe2P (GGA-PBE, the Alexandria database).

Results
uncorrected energy	-0.122	Ha/atom
space group	No. 47
uncorrected formation energy	-0.117	eV per atom

abc: 4.1157 3.3216 8.6695
angles: 89.96 90.00 90.00
Last column: nearest neighbours and their distance in Å.
Element x y z (fractional)
1 K 0.5000 0.2500 0.2500  2 K 3.32, 8 Te 3.60
2 P 0.5000 0.7500 0.7500  4 Te 2.79
3 Te 0.0000 0.7505 0.9679  2 P 2.79
4 Te 0.0000 0.7495 0.5321  2 P 2.79

---

2.
# KTe2P

An optimized crystal structure of KTe2P (GGA-PBE, the Alexandria database).

Results
uncorrected energy	-0.121	Ha/atom
space group	No. 44
uncorrected formation energy	-0.087	eV per atom

abc: 6.5999 6.5999 6.5999
angles: 148.38 125.35 64.52
Last column: nearest neighbours and their distance in Å.
Element x y z (fractional)
1 Te 0.0433 0.0433 0.0000  2 P 2.54
2 P 0.2038 0.7038 0.5000  2 Te 2.54
3 K 0.4781 0.4781 0.0000  4 P 3.55-3.94, 2 K 3.60, 8 Te 3.60-3.78
4 Te 0.7749 0.2749 0.5000  4 Te 3.49-3.60, 4 P 3.61, 4 K 3.77-3.78

---

3.
# K2TeP

An optimized crystal structure of K2TeP (GGA-PBE, the Alexandria database).

Results
uncorrected energy	-0.104	Ha/atom
space group	No. 99
excess energy over the best structure of this formula in the dataset	283.3	meV per atom
uncorrected formation energy	-0.137	eV per atom

abc: 3.9380 3.9380 9.9036
angles: 90.00 90.00 90.00
Last column: nearest neighbours and their distance in Å.
Element x y z (fractional)
1 P 0.0000 0.0000 0.5926  4 Te 2.87, 1 K 3.17
2 Te 0.5000 0.5000 0.6618  4 P 2.87
3 K 0.5000 0.5000 0.3328  1 Te 3.26
4 K 0.0000 0.0000 0.9129  1 P 3.17